Entry 1:
18
Lattice="-2.0662 -3.0876 -0.3297 2.4729 1.3572 -7.1101 9.4533 -6.5437 2.0388" Properties=species:S:1:pos:R:3 comment="Ba2LaZnO5 PBE optimized geometry" e_form_raw_ev_per_fu=-20.81 volume_a3_per_atom=17.9 crystal_system=orthorhombic spacegroup="Cmc2_1 (36)" pbc="T T T"
La 4.9393 -5.1746 -3.5905
Ba 1.7920 -2.8565 -5.5755
Ba 6.7062 -4.4750 -0.1193
O 1.1416 -2.7119 -2.8542
O 1.5869 -3.3387 0.2250
O 5.0431 -4.9780 -6.0828
O 1.0722 -0.1895 -4.9442
Ba 3.5991 -2.2637 -1.3553
O 7.1422 -4.4711 -2.8868
Zn 5.3717 -2.9685 -5.8640
O 9.4986 -6.5370 1.6915
Zn 7.8391 -7.6252 1.1857
O 8.7199 -5.2448 -5.5296
O 4.2408 -4.9371 -1.4374
Ba 7.9233 -7.1612 -3.6872
O 7.9335 -7.4731 -0.8296
O 4.6933 -2.7162 -3.9747
La 0.8961 -0.3136 -2.6785

---

Entry 2:
5
Lattice="-3.0453 -0.6866 3.9364 -3.2103 -2.5264 -2.9243 2.5993 -4.6848 1.1938" Properties=species:S:1:pos:R:3 comment="BaLa2ZnO PBE optimized geometry" e_form_raw_ev_per_fu=-5.40 volume_a3_per_atom=27.7 crystal_system=tetragonal spacegroup="P4/mmm (123)" pbc="T T T"
La -1.6052 -1.2632 -1.4622
Zn -1.8282 -3.9489 1.1029
La -1.5227 -0.3433 1.9682
O 0.0000 0.0000 0.0000
Ba 1.2996 -2.3424 0.5969

---

Entry 3:
5
Lattice="4.1463 0.0000 0.0000 0.0000 3.6871 -9.9357 0.0000 3.6871 9.9357" Properties=species:S:1:pos:R:3 comment="BaLa3Os PBE optimized geometry" polymorph_energy_mev_per_atom=580 formation_energy_ev_per_atom=0.49 volume_a3_per_atom=60.8 crystal_system=orthorhombic spacegroup="Amm2 (38)" pbc="T T T"
La 2.0732 1.8412 1.6569
La 2.0732 5.5331 1.6569
Os 0.0000 3.6871 1.7668
La 0.0000 3.6871 4.3683
Ba 2.0732 3.6871 7.8779

---

Entry 4:
20
Lattice="31.0979 0.0000 3.6854 0.0000 7.2169 0.0000 -10.2007 0.0000 2.3428" Properties=species:S:1:pos:R:3 comment="BaLa3Os PBE optimized geometry" polymorph_energy_mev_per_atom=30 formation_energy_ev_per_atom=-0.06 volume_a3_per_atom=39.9 crystal_system=monoclinic spacegroup="P2_1/c (14)" pbc="T T T"
La 25.3292 6.6005 3.1202
La 12.4583 4.2727 3.1973
Os 14.8058 5.4577 2.8020
Ba 20.0652 4.2959 4.1813
La 24.2012 3.1093 4.5868
Os 6.0914 1.7591 3.2262
La -4.4320 0.6163 2.9080
La 17.3453 6.7177 2.1127
La 29.0882 0.6643 3.5022
Ba 11.2806 0.6874 4.8610
La 4.6799 4.2248 2.4489
La -8.1910 6.5526 2.5260
Os 26.7407 1.8493 3.8974
La 16.2173 2.9921 3.5793
La -3.3040 4.1076 1.4414
Ba 0.8320 2.9210 1.8469
La 8.4389 2.9441 2.8309
Ba 9.6166 6.5294 1.1672
Os -5.8435 5.3676 2.1307
La 3.5519 0.4991 3.9155

---

Entry 5:
10
Lattice="10.3259 0.0306 -0.0899 1.9283 6.0358 -0.0011 -2.2951 0.7306 6.5295" Properties=species:S:1:pos:R:3 comment="BaLa3Os PBE optimized geometry" polymorph_energy_mev_per_atom=37 formation_energy_ev_per_atom=-0.05 volume_a3_per_atom=40.5 crystal_system=monoclinic spacegroup="C2/m (12)" pbc="T T T"
La 2.0840 2.6348 4.5577
La 1.3947 2.8575 0.7313
La 7.0202 1.0609 5.4702
Ba 5.7021 1.4815 1.7478
La 8.8233 3.8109 3.0800
Ba 5.5153 4.8658 5.0109
Os -0.6107 1.8326 5.0593
Os 0.3536 4.8508 5.0586
La 1.6072 6.1133 2.8563
La 4.5052 5.1898 0.4178

---

Entry 6:
5
Lattice="-0.0861 -4.8195 1.5459 5.0614 -0.0819 0.0263 0.0000 1.5462 4.8202" Properties=species:S:1:pos:R:3 comment="BaLaOs3 PBE optimized geometry" polymorph_energy_mev_per_atom=546 formation_energy_ev_per_atom=2.59 volume_a3_per_atom=25.9 crystal_system=cubic spacegroup="Pm-3m (221)" pbc="T T T"
La 2.4877 -1.6776 3.1962
Os -0.0430 -2.4097 0.7730
Ba 0.0000 0.0000 0.0000
Os 2.5307 -0.0410 0.0131
Os 0.0000 0.7731 2.4101

---

Entry 7:
5
Lattice="-2.9749 -0.4996 -4.9495 4.7558 -1.9773 -2.6588 -1.4592 -5.4256 1.4248" Properties=species:S:1:pos:R:3 comment="BaLa3Os PBE optimized geometry" polymorph_energy_mev_per_atom=34 formation_energy_ev_per_atom=-0.06 volume_a3_per_atom=38.9 crystal_system=cubic spacegroup="Pm-3m (221)" pbc="T T T"
La 2.3779 -0.9887 -1.3294
Os 0.0000 0.0000 0.0000
La -0.7296 -2.7128 0.7124
La -1.4874 -0.2498 -2.4747
Ba 0.1608 -3.9513 -3.0918

---

Entry 8:
10
Lattice="-5.5716 -0.6892 5.9550 -6.7044 -4.5392 -1.1931 -0.9042 -7.1135 3.9708" Properties=species:S:1:pos:R:3 comment="BaLa3Os PBE optimized geometry" polymorph_energy_mev_per_atom=33 formation_energy_ev_per_atom=-0.06 volume_a3_per_atom=38.8 crystal_system=monoclinic spacegroup="C2/m (12)" pbc="T T T"
Os -6.5417 -6.1227 4.3332
Ba -9.6121 -9.2723 6.5806
La -7.0904 -8.8288 3.4350
Ba -3.4727 -2.9804 2.0911
La -6.4631 -6.8316 7.1457
La -6.6207 -5.4199 1.5225
La -5.9936 -3.4229 5.2349
La -3.6911 -6.5564 4.1466
La -9.3919 -5.6955 4.5223
Os -13.1315 -12.2983 8.6988